A | {"formula": "Zn3PbC", "functional": "PBE", "state": "optimized geometry", "total_magnetization_mub_per_cell": 2.68, "crystal_system": "cubic", "cell": [[5.429, 0.000, 0.000], [0.000, 5.429, 0.000], [0.000, 0.000, 5.429]], "species": ["Pb", "Zn", "Zn", "Zn", "C"], "frac_coords": [[0.000, 0.000, 0.000], [0.000, 0.500, 0.000], [0.000, 0.000, 0.500], [0.500, 0.000, 0.000], [0.500, 0.500, 0.500]]}



B | {"formula": "Zn3PbC", "functional": "PBE", "state": "optimized geometry", "total_magnetization_mub_per_cell": 0.00, "crystal_system": "cubic", "cell": [[-2.715, -3.186, -1.299], [1.738, 0.158, -4.020], [2.969, -3.005, 1.166]], "species": ["Pb", "Zn", "Zn", "Zn", "C"], "frac_coords": [[0.500, 0.500, 0.500], [0.000, 0.500, 0.000], [0.000, 0.000, 0.500], [0.500, 0.000, 0.000], [0.000, 0.000, 0.000]]}



Least stable: A